i.
# HgSbTe PBE-GGA optimized geometry
data_HgSbTe
_chemical_formula_sum 'Hg1 Sb1 Te1'
_space_group_name_H-M_alt 'P 3 m 1'
_space_group_IT_number 156
_cell_length_a 4.2617
_cell_length_b 4.2617
_cell_length_c 5.6508
_cell_angle_alpha 90.00
_cell_angle_beta 90.00
_cell_angle_gamma 120.00
loop_
_space_group_symop_operation_xyz
'x,y,z'
'-y,x-y,z'
'-x+y,-x,z'
'-y,-x,z'
'-x+y,y,z'
'x,x-y,z'
loop_
_atom_site_label
_atom_site_fract_x
_atom_site_fract_y
_atom_site_fract_z
_atom_site_occupancy
Hg1 0.0000 0.0000 0.0000 1
Sb1 0.6667 0.3333 0.3179 1
Te1 0.3333 0.6667 0.6526 1
# total magnetic moment: 0.00 μB/f.u.
# mass density: 8.41 g/cm3
# DOS at the Fermi energy: 2.1 states/eV per cell
# volume: 29.6 Å³/atom


ii.
# HgSbTe PBE-GGA optimized geometry
data_HgSbTe
_chemical_formula_sum 'Hg4 Sb4 Te4'
_space_group_name_H-M_alt 'F -4 3 m'
_space_group_IT_number 216
_space_group_name_Hall 'F -4 2 3'
_cell_length_a 7.368
_cell_length_b 7.368
_cell_length_c 7.368
_cell_angle_alpha 90.00
_cell_angle_beta 90.00
_cell_angle_gamma 90.00
loop_
_atom_site_label
_atom_site_fract_x
_atom_site_fract_y
_atom_site_fract_z
_atom_site_occupancy
Hg1 0.000 0.000 0.000 1
Sb1 0.250 0.250 0.750 1
Te1 0.000 0.000 0.500 1
# total magnetic moment: 0.00 μB/f.u.
# mass density: 7.47 g/cm3
# DOS at the Fermi energy: 12.2 states/eV per cell
# volume: 33.3 Å³/atom


iii.
# HgSbTe PBE-GGA optimized geometry
data_HgSbTe
_chemical_formula_sum 'Hg4 Sb4 Te4'
_space_group_name_H-M_alt 'F m m 2'
_space_group_IT_number 42
_space_group_name_Hall 'F 2 -2'
_cell_length_a 3.798
_cell_length_b 5.633
_cell_length_c 16.044
_cell_angle_alpha 90.00
_cell_angle_beta 90.00
_cell_angle_gamma 90.00
loop_
_atom_site_label
_atom_site_fract_x
_atom_site_fract_y
_atom_site_fract_z
_atom_site_occupancy
Hg1 0.000 0.000 0.000 1
Sb1 0.000 0.000 0.327 1
Te1 0.000 0.000 0.677 1
# total magnetic moment: 0.00 μB/f.u.
# mass density: 8.71 g/cm3
# DOS at the Fermi energy: 4.5 states/eV per cell
# volume: 28.6 Å³/atom


i is favored, and the nearest alternative lies 12.9 kJ/mol of atoms above it.